Record 1
SbF3, relaxed, DFT PBE-GGA; raw total energy = -3.23 eV per atom; D(E_F) = 1.117 states/eV per atom; relative energy among the computed polymorphs = 1.572 eV/atom; E_form (uncorrected) = -0.80 eV/atom
1.0
1.885 0.000 8.238
-0.942 1.632 8.238
-0.942 -1.632 8.238
Sb F
1 3
direct
0.000 0.000 0.000
0.500 0.500 0.500
0.921 0.921 0.921
0.079 0.079 0.079

Record 2
SbF3, relaxed, DFT PBE-GGA; raw total energy = -4.80 eV per atom; D(E_F) = 0.000 states/eV per atom; relative energy among the computed polymorphs = 0.000 eV/atom; E_form (uncorrected) = -2.37 eV/atom
1.0
-3.059 -1.048 3.272
4.279 0.372 1.648
-1.066 6.901 1.212
F Sb
6 2
direct
0.575 0.969 0.062
0.969 0.575 0.938
0.969 0.575 0.562
0.575 0.969 0.438
0.308 0.403 0.250
0.403 0.308 0.750
0.228 0.795 0.250
0.795 0.228 0.750

Record 3
SbF, relaxed, DFT PBE-GGA; raw total energy = -3.58 eV per atom; D(E_F) = 0.393 states/eV per atom; relative energy among the computed polymorphs = 0.797 eV/atom; E_form (uncorrected) = -0.59 eV/atom
1.0
-2.474 -1.315 4.955
0.828 -5.531 -1.055
5.059 0.262 2.595
Sb F
4 4
direct
0.000 0.000 0.000
0.000 0.500 0.500
0.500 0.000 0.500
0.500 0.500 0.000
0.250 0.250 0.250
0.250 0.750 0.750
0.750 0.250 0.750
0.750 0.750 0.250